Density functional theory data (GGA-PBE) for Tl2FeSe after structural relaxation.

Output
offset from the most stable computed form	0.338	eV/atom
formation energy from raw total energies	0.427	eV/atom
VASP energy	-3.74	eV/atom
N(E_F)	2.29	states/eV/f.u.
theoretical density	9.34	g cm⁻³
SG	P2/m (10)
crystal system	monoclinic

abc: 3.955 5.034 6.166
angles: 51.92 90.00 90.00
Each line ends with the local moment (μB).
Fractional positions:
1 Fe 0.500 0.500 0.500  3.14
2 Se 0.000 0.000 0.500  0.06
3 Tl 0.000 0.000 0.000  -0.01
4 Tl 0.500 0.500 0.000  0.00